No. 1
# MnCuW2, optimized geometry, DFT GGA-PBEsol
data_MnCuW2
_chemical_formula_sum 'Mn1 Cu1 W2'
_space_group_name_H-M_alt 'P 4/m m m'
_space_group_IT_number 123
_space_group_name_Hall '-P 4 2'
_cell_length_a 3.784
_cell_length_b 3.784
_cell_length_c 3.703
_cell_angle_alpha 90.00
_cell_angle_beta 90.00
_cell_angle_gamma 90.00
loop_
_atom_site_label
_atom_site_fract_x
_atom_site_fract_y
_atom_site_fract_z
_atom_site_occupancy
Mn1 0.000 0.000 0.000 1
Cu1 0.500 0.500 0.000 1
W1 0.000 0.500 0.500 1
# ΔH_f (0 K): 0.266 eV/atom
# Volume: 53 Å³/cell
# Energy above the most stable polymorph in this dataset: 0.0000 eV per atom

No. 2
# Tb4ZrAl15, optimized geometry, DFT GGA-PBEsol
data_Tb4ZrAl15
_chemical_formula_sum 'Tb12 Zr3 Al45'
_space_group_name_H-M_alt 'R -3 m'
_space_group_IT_number 166
_space_group_name_Hall '-R 3 2"'
_cell_length_a 5.9791
_cell_length_b 5.9791
_cell_length_c 35.7692
_cell_angle_alpha 90.00
_cell_angle_beta 90.00
_cell_angle_gamma 120.00
loop_
_atom_site_label
_atom_site_fract_x
_atom_site_fract_y
_atom_site_fract_z
_atom_site_occupancy
Tb1 0.0000 0.0000 0.1003 1
Tb2 0.0000 0.0000 0.3685 1
Zr1 0.0000 0.0000 0.5000 1
Al1 0.0000 0.5000 0.5000 1
Al2 0.0035 0.5018 0.3666 1
Al3 0.0252 0.5126 0.8981 1
# ΔH_f (0 K): -0.439 eV/atom
# Volume: 1107 Å³/cell

No. 3
# Cs2TmCuCl6, optimized geometry, DFT GGA-PBEsol
data_Cs2TmCuCl6
_chemical_formula_sum 'Cs8 Tm4 Cu4 Cl24'
_space_group_name_H-M_alt 'F m -3 m'
_space_group_IT_number 225
_space_group_name_Hall '-F 4 2 3'
_cell_length_a 10.190
_cell_length_b 10.190
_cell_length_c 10.190
_cell_angle_alpha 90.00
_cell_angle_beta 90.00
_cell_angle_gamma 90.00
loop_
_atom_site_label
_atom_site_fract_x
_atom_site_fract_y
_atom_site_fract_z
_atom_site_occupancy
Cs1 0.250 0.250 0.250 1
Tm1 0.000 0.000 0.000 1
Cu1 0.000 0.000 0.500 1
Cl1 0.000 0.000 0.253 1
# Formation energy from raw total energies: -1812 meV/atom
# Volume: 1058 Å³/cell

No. 4
# LiZn3Mo, optimized geometry, DFT GGA-PBEsol
data_LiZn3Mo
_chemical_formula_sum 'Li1 Zn3 Mo1'
_space_group_name_H-M_alt 'P m -3 m'
_space_group_IT_number 221
_space_group_name_Hall '-P 4 2 3'
_cell_length_a 4.849
_cell_length_b 4.849
_cell_length_c 4.849
_cell_angle_alpha 90.00
_cell_angle_beta 90.00
_cell_angle_gamma 90.00
loop_
_atom_site_label
_atom_site_fract_x
_atom_site_fract_y
_atom_site_fract_z
_atom_site_occupancy
Li1 0.000 0.000 0.000 1
Zn1 0.000 0.500 0.500 1
Mo1 0.500 0.500 0.500 1
# ΔH_f (0 K): 0.873 eV/atom
# Volume: 114 Å³/cell

No. 5
# MgTe2H, optimized geometry, DFT GGA-PBEsol
data_MgTe2H
_chemical_formula_sum 'Mg4 Te8 H4'
_space_group_name_H-M_alt 'I -4 2 d'
_space_group_IT_number 122
_space_group_name_Hall 'I -4 2bw'
_cell_length_a 6.424
_cell_length_b 6.424
_cell_length_c 8.734
_cell_angle_alpha 90.00
_cell_angle_beta 90.00
_cell_angle_gamma 90.00
loop_
_atom_site_label
_atom_site_fract_x
_atom_site_fract_y
_atom_site_fract_z
_atom_site_occupancy
Mg1 0.000 0.000 0.000 1
Te1 0.172 0.250 0.625 1
H1 0.000 0.000 0.500 1
# Volume: 360 Å³/cell
# Energy above the most stable polymorph in this dataset: 0.1673 eV per atom

No. 6
# ScBeAl2, optimized geometry, DFT GGA-PBEsol
data_ScBeAl2
_chemical_formula_sum 'Sc4 Be4 Al8'
_space_group_name_H-M_alt 'I -4 2 d'
_space_group_IT_number 122
_space_group_name_Hall 'I -4 2bw'
_cell_length_a 3.841
_cell_length_b 3.841
_cell_length_c 18.890
_cell_angle_alpha 90.00
_cell_angle_beta 90.00
_cell_angle_gamma 90.00
loop_
_atom_site_label
_atom_site_fract_x
_atom_site_fract_y
_atom_site_fract_z
_atom_site_occupancy
Sc1 0.000 0.000 0.000 1
Be1 0.000 0.000 0.500 1
Al1 0.236 0.250 0.625 1
# ΔH_f (0 K): 0.262 eV/atom
# Volume: 279 Å³/cell

No. 7
# Co12Ge4C, optimized geometry, DFT GGA-PBEsol
data_Co12Ge4C
_chemical_formula_sum 'Co12 Ge4 C1'
_space_group_name_H-M_alt 'P 4/m m m'
_space_group_IT_number 123
_space_group_name_Hall '-P 4 2'
_cell_length_a 3.588
_cell_length_b 3.588
_cell_length_c 13.953
_cell_angle_alpha 90.00
_cell_angle_beta 90.00
_cell_angle_gamma 90.00
loop_
_atom_site_label
_atom_site_fract_x
_atom_site_fract_y
_atom_site_fract_z
_atom_site_occupancy
Co1 0.000 0.000 0.121 1
Co2 0.000 0.000 0.368 1
Co3 0.000 0.500 0.000 1
Co4 0.000 0.500 0.244 1
Co5 0.000 0.500 0.500 1
Ge1 0.500 0.500 0.122 1
Ge2 0.500 0.500 0.361 1
C1 0.000 0.000 0.500 1
# ΔH_f (0 K): -0.103 eV/atom
# Volume: 180 Å³/cell

No. 8
# AgTeNF2, optimized geometry, DFT GGA-PBEsol
data_AgTeNF2
_chemical_formula_sum 'Ag1 Te1 N1 F2'
_space_group_name_H-M_alt 'P 4/m m m'
_space_group_IT_number 123
_space_group_name_Hall '-P 4 2'
_cell_length_a 4.118
_cell_length_b 4.118
_cell_length_c 4.296
_cell_angle_alpha 90.00
_cell_angle_beta 90.00
_cell_angle_gamma 90.00
loop_
_atom_site_label
_atom_site_fract_x
_atom_site_fract_y
_atom_site_fract_z
_atom_site_occupancy
Ag1 0.000 0.000 0.000 1
Te1 0.500 0.500 0.500 1
N1 0.000 0.000 0.500 1
F1 0.000 0.500 0.000 1
# Formation energy from raw total energies: 200 meV/atom
# Volume: 73 Å³/cell

No. 9
# Al2GaPb, optimized geometry, DFT GGA-PBEsol
data_Al2GaPb
_chemical_formula_sum 'Al8 Ga4 Pb4'
_space_group_name_H-M_alt 'F m -3 m'
_space_group_IT_number 225
_space_group_name_Hall '-F 4 2 3'
_cell_length_a 6.944
_cell_length_b 6.944
_cell_length_c 6.944
_cell_angle_alpha 90.00
_cell_angle_beta 90.00
_cell_angle_gamma 90.00
loop_
_atom_site_label
_atom_site_fract_x
_atom_site_fract_y
_atom_site_fract_z
_atom_site_occupancy
Al1 0.250 0.250 0.250 1
Ga1 0.000 0.000 0.000 1
Pb1 0.000 0.000 0.500 1
# ΔH_f (0 K): 0.242 eV/atom
# Volume: 335 Å³/cell

No. 10
# Sc3TaTl, optimized geometry, DFT GGA-PBEsol
data_Sc3TaTl
_chemical_formula_sum 'Sc3 Ta1 Tl1'
_space_group_name_H-M_alt 'P m -3 m'
_space_group_IT_number 221
_space_group_name_Hall '-P 4 2 3'
_cell_length_a 5.070
_cell_length_b 5.070
_cell_length_c 5.070
_cell_angle_alpha 90.00
_cell_angle_beta 90.00
_cell_angle_gamma 90.00
loop_
_atom_site_label
_atom_site_fract_x
_atom_site_fract_y
_atom_site_fract_z
_atom_site_occupancy
Sc1 0.000 0.000 0.500 1
Ta1 0.000 0.000 0.000 1
Tl1 0.500 0.500 0.500 1
# ΔH_f (0 K): 0.639 eV/atom
# Volume: 130 Å³/cell
# Energy above the most stable polymorph in this dataset: 0.0000 eV per atom

No. 11
# KSeO2, optimized geometry, DFT GGA-PBEsol
data_KSeO2
_chemical_formula_sum 'K3 Se3 O6'
_space_group_name_H-M_alt 'R -3 m'
_space_group_IT_number 166
_space_group_name_Hall '-R 3 2"'
_cell_length_a 3.4359
_cell_length_b 3.4359
_cell_length_c 20.1815
_cell_angle_alpha 90.00
_cell_angle_beta 90.00
_cell_angle_gamma 120.00
loop_
_atom_site_label
_atom_site_fract_x
_atom_site_fract_y
_atom_site_fract_z
_atom_site_occupancy
K1 0.0000 0.0000 0.0000 1
Se1 0.0000 0.0000 0.5000 1
O1 0.0000 0.0000 0.1205 1
# Formation energy from raw total energies: -409 meV/atom
# Volume: 206 Å³/cell

No. 12
# Ba5Y, optimized geometry, DFT GGA-PBEsol
data_Ba5Y
_chemical_formula_sum 'Ba5 Y1'
_space_group_name_H-M_alt 'P 4/m m m'
_space_group_IT_number 123
_space_group_name_Hall '-P 4 2'
_cell_length_a 4.397
_cell_length_b 4.397
_cell_length_c 16.132
_cell_angle_alpha 90.00
_cell_angle_beta 90.00
_cell_angle_gamma 90.00
loop_
_atom_site_label
_atom_site_fract_x
_atom_site_fract_y
_atom_site_fract_z
_atom_site_occupancy
Ba1 0.000 0.000 0.000 1
Ba2 0.000 0.000 0.366 1
Ba3 0.500 0.500 0.189 1
Y1 0.500 0.500 0.500 1
# ΔH_f (0 K): 0.115 eV/atom
# Volume: 312 Å³/cell

No. 13
# NiMoP, optimized geometry, DFT GGA-PBEsol
data_NiMoP
_chemical_formula_sum 'Ni3 Mo3 P3'
_space_group_name_H-M_alt 'P -6 2 m'
_space_group_IT_number 189
_space_group_name_Hall 'P -6 -2'
_cell_length_a 5.7927
_cell_length_b 5.7927
_cell_length_c 3.7049
_cell_angle_alpha 90.00
_cell_angle_beta 90.00
_cell_angle_gamma 120.00
loop_
_atom_site_label
_atom_site_fract_x
_atom_site_fract_y
_atom_site_fract_z
_atom_site_occupancy
Ni1 0.0000 0.7499 0.0000 1
Mo1 0.0000 0.4147 0.5000 1
P1 0.0000 0.0000 0.5000 1
P2 0.3333 0.6667 0.0000 1
# ΔH_f (0 K): -0.652 eV/atom
# Volume: 108 Å³/cell

No. 14
# MgRu2Pb, optimized geometry, DFT GGA-PBEsol
data_MgRu2Pb
_chemical_formula_sum 'Mg1 Ru2 Pb1'
_space_group_name_H-M_alt 'P 1 m 1'
_space_group_IT_number 6
_space_group_name_Hall 'P -2y'
_cell_length_a 2.974
_cell_length_b 2.958
_cell_length_c 8.409
_cell_angle_alpha 90.00
_cell_angle_beta 100.12
_cell_angle_gamma 90.00
loop_
_atom_site_label
_atom_site_fract_x
_atom_site_fract_y
_atom_site_fract_z
_atom_site_occupancy
Mg1 0.000 0.000 0.000 1
Ru1 0.394 0.500 0.785 1
Ru2 0.803 0.000 0.604 1
Pb1 0.180 0.500 0.354 1
# ΔH_f (0 K): 0.178 eV/atom
# Volume: 73 Å³/cell

No. 15
# YSc2MnP, optimized geometry, DFT GGA-PBEsol
data_YSc2MnP
_chemical_formula_sum 'Y1 Sc2 Mn1 P1'
_space_group_name_H-M_alt 'P 4/m m m'
_space_group_IT_number 123
_space_group_name_Hall '-P 4 2'
_cell_length_a 5.080
_cell_length_b 5.080
_cell_length_c 5.039
_cell_angle_alpha 90.00
_cell_angle_beta 90.00
_cell_angle_gamma 90.00
loop_
_atom_site_label
_atom_site_fract_x
_atom_site_fract_y
_atom_site_fract_z
_atom_site_occupancy
Y1 0.000 0.000 0.000 1
Sc1 0.000 0.500 0.000 1
Mn1 0.500 0.500 0.500 1
P1 0.000 0.000 0.500 1
# ΔH_f (0 K): 1.175 eV/atom
# Volume: 130 Å³/cell

No. 16
# Ag4IrRu, optimized geometry, DFT GGA-PBEsol
data_Ag4IrRu
_chemical_formula_sum 'Ag16 Ir4 Ru4'
_space_group_name_H-M_alt 'F -4 3 m'
_space_group_IT_number 216
_space_group_name_Hall 'F -4 2 3'
_cell_length_a 7.298
_cell_length_b 7.298
_cell_length_c 7.298
_cell_angle_alpha 90.00
_cell_angle_beta 90.00
_cell_angle_gamma 90.00
loop_
_atom_site_label
_atom_site_fract_x
_atom_site_fract_y
_atom_site_fract_z
_atom_site_occupancy
Ag1 0.125 0.125 0.125 1
Ir1 0.250 0.250 0.750 1
Ru1 0.000 0.000 0.500 1
# ΔH_f (0 K): 0.827 eV/atom
# Volume: 389 Å³/cell

No. 17
# YMg3, optimized geometry, DFT GGA-PBEsol
data_YMg3
_chemical_formula_sum 'Y4 Mg12'
_space_group_name_H-M_alt 'P 63/m m c'
_space_group_IT_number 194
_space_group_name_Hall '-P 6c 2c'
_cell_length_a 6.5659
_cell_length_b 6.5659
_cell_length_c 10.5745
_cell_angle_alpha 90.00
_cell_angle_beta 90.00
_cell_angle_gamma 120.00
loop_
_atom_site_label
_atom_site_fract_x
_atom_site_fract_y
_atom_site_fract_z
_atom_site_occupancy
Y1 0.0000 0.0000 0.0000 1
Y2 0.3333 0.6667 0.2500 1
Mg1 0.0000 0.5000 0.0000 1
Mg2 0.1693 0.3385 0.7500 1
# ΔH_f (0 K): -0.069 eV/atom
# Volume: 395 Å³/cell

No. 18
# TaPb2, optimized geometry, DFT GGA-PBEsol
data_TaPb2
_chemical_formula_sum 'Ta1 Pb2'
_space_group_name_H-M_alt 'P -3 m 1'
_space_group_IT_number 164
_space_group_name_Hall '-P 3 2"'
_cell_length_a 5.1755
_cell_length_b 5.1755
_cell_length_c 3.0358
_cell_angle_alpha 90.00
_cell_angle_beta 90.00
_cell_angle_gamma 120.00
loop_
_atom_site_label
_atom_site_fract_x
_atom_site_fract_y
_atom_site_fract_z
_atom_site_occupancy
Ta1 0.0000 0.0000 0.0000 1
Pb1 0.3333 0.6667 0.7280 1
# ΔH_f (0 K): 0.719 eV/atom
# Volume: 70 Å³/cell

No. 19
# La2AgRh, optimized geometry, DFT GGA-PBEsol
data_La2AgRh
_chemical_formula_sum 'La6 Ag3 Rh3'
_space_group_name_H-M_alt 'R -3 m'
_space_group_IT_number 166
_space_group_name_Hall '-R 3 2"'
_cell_length_a 4.1100
_cell_length_b 4.1100
_cell_length_c 22.2443
_cell_angle_alpha 90.00
_cell_angle_beta 90.00
_cell_angle_gamma 120.00
loop_
_atom_site_label
_atom_site_fract_x
_atom_site_fract_y
_atom_site_fract_z
_atom_site_occupancy
La1 0.0000 0.0000 0.2375 1
Ag1 0.0000 0.0000 0.0000 1
Rh1 0.0000 0.0000 0.5000 1
# ΔH_f (0 K): -0.399 eV/atom
# Volume: 325 Å³/cell

No. 20
# Dy5Ti5O17, optimized geometry, DFT GGA-PBEsol
data_Dy5Ti5O17
_chemical_formula_sum 'Dy10 Ti10 O34'
_space_group_name_H-M_alt 'P m n 21'
_space_group_IT_number 31
_space_group_name_Hall 'P 2ac -2'
_cell_length_a 3.809
_cell_length_b 5.383
_cell_length_c 30.973
_cell_angle_alpha 90.00
_cell_angle_beta 90.00
_cell_angle_gamma 90.00
loop_
_atom_site_label
_atom_site_fract_x
_atom_site_fract_y
_atom_site_fract_z
_atom_site_occupancy
Dy1 0.000 0.156 0.000 1
Dy2 0.000 0.211 0.220 1
Dy3 0.000 0.344 0.442 1
Dy4 0.000 0.677 0.319 1
Dy5 0.000 0.824 0.124 1
Ti1 0.000 0.218 0.897 1
Ti2 0.000 0.262 0.721 1
Ti3 0.000 0.282 0.545 1
Ti4 0.000 0.733 0.632 1
Ti5 0.000 0.765 0.809 1
O1 0.000 0.062 0.495 1
O2 0.000 0.063 0.667 1
O3 0.000 0.070 0.839 1
O4 0.000 0.246 0.142 1
O5 0.000 0.259 0.299 1
O6 0.000 0.423 0.604 1
O7 0.000 0.423 0.776 1
O8 0.000 0.438 0.947 1
O9 0.000 0.544 0.856 1
O10 0.000 0.559 0.510 1
O11 0.000 0.573 0.692 1
O12 0.000 0.718 0.392 1
O13 0.000 0.771 0.220 1
O14 0.000 0.782 0.050 1
O15 0.000 0.931 0.752 1
O16 0.000 0.942 0.933 1
O17 0.000 0.952 0.586 1
# Formation energy from raw total energies: -3329 meV/atom
# Volume: 635 Å³/cell